No. 1
Compound: Na2AlHgAu
Source: Alexandria
Functional: meta-GGA SCAN
Structure: single point on PBEsol structure

a = 5.7334 Å, b = 5.7334 Å, c = 4.6907 Å
α = 90.00°, β = 90.00°, γ = 90.00°
Last column: nearest neighbours and their distance in Å.
Sites, in units of the cell vectors:
Na 0.0000 0.5000 0.0000  2 Al 2.87
Na 0.5000 0.0000 0.0000  2 Al 2.87
Al 0.0000 0.0000 0.0000  2 Au 2.35
Hg 0.5000 0.5000 0.5000  8 Na 3.70, 4 Au 4.05
Au 0.0000 0.0000 0.5000  2 Al 2.35

Output
- raw total energy (eV per atom) = -30.62
- ΔH_f (0 K) (eV per atom) = 0.0812

=====

No. 2
Compound: HoAl7Au3
Source: Alexandria
Functional: meta-GGA SCAN
Structure: single point on PBEsol structure

a = 8.3590 Å, b = 8.3590 Å, c = 8.3590 Å
α = 57.14°, β = 57.14°, γ = 57.14°
Last column: nearest neighbours and their distance in Å.
Sites, in units of the cell vectors:
Ho 0.0000 0.0000 0.0000  6 Au 3.21, 12 Al 3.29-3.32
Ho 0.5000 0.5000 0.5000  6 Au 3.21, 12 Al 3.29-3.32
Al 0.0710 0.8527 0.6660  3 Au 2.56-2.64, 5 Al 2.81-2.87
Al 0.1473 0.3340 0.9290  3 Au 2.56-2.64, 5 Al 2.81-2.87
Al 0.1660 0.3527 0.5710  3 Au 2.56-2.64, 5 Al 2.81-2.87
Al 0.2500 0.2500 0.2500  3 Au 2.60, 6 Al 2.87
Al 0.3340 0.9290 0.1473  3 Au 2.56-2.64, 5 Al 2.81-2.87
Al 0.3527 0.5710 0.1660  3 Au 2.56-2.64, 5 Al 2.81-2.87
Al 0.4290 0.8340 0.6473  3 Au 2.56-2.64, 5 Al 2.81-2.87
Al 0.5710 0.1660 0.3527  3 Au 2.56-2.64, 5 Al 2.81-2.87
Al 0.6473 0.4290 0.8340  3 Au 2.56-2.64, 5 Al 2.81-2.87
Al 0.6660 0.0710 0.8527  3 Au 2.56-2.64, 5 Al 2.81-2.87
Al 0.7500 0.7500 0.7500  3 Au 2.60, 6 Al 2.87
Al 0.8340 0.6473 0.4290  3 Au 2.56-2.64, 5 Al 2.81-2.87
Al 0.8527 0.6660 0.0710  3 Au 2.56-2.64, 5 Al 2.81-2.87
Al 0.9290 0.1473 0.3340  3 Au 2.56-2.64, 5 Al 2.81-2.87
Au 0.0747 0.7500 0.4253  7 Al 2.56-2.64
Au 0.2500 0.5747 0.9253  7 Al 2.56-2.64
Au 0.4253 0.0747 0.7500  7 Al 2.56-2.64
Au 0.5747 0.9253 0.2500  7 Al 2.56-2.64
Au 0.7500 0.4253 0.0747  7 Al 2.56-2.64
Au 0.9253 0.2500 0.5747  7 Al 2.56-2.64

Output
- raw total energy (eV per atom) = -28.98
- ΔH_f (0 K) (eV per atom) = -0.7286

=====

No. 3
Compound: Al2AuI
Source: Alexandria
Functional: meta-GGA SCAN
Structure: single point on PBEsol structure

a = 7.2210 Å, b = 7.2210 Å, c = 7.2210 Å
α = 126.93°, β = 126.93°, γ = 78.37°
Last column: nearest neighbours and their distance in Å.
Sites, in units of the cell vectors:
Al 0.0542 0.1250 0.4292  2 Au 2.43
Al 0.3750 0.9458 0.0708  2 Au 2.43
Al 0.6958 0.6250 0.5708  2 Au 2.43
Al 0.8750 0.3042 0.9292  2 Au 2.43
Au 0.0000 0.0000 0.0000  4 Al 2.43
Au 0.7500 0.2500 0.5000  4 Al 2.43
I 0.2500 0.7500 0.5000  4 Al 2.97
I 0.5000 0.5000 0.0000  4 Al 2.97

Output
- raw total energy (eV per atom) = -30.42
- energy relative to the elements, uncorrected (eV per atom) = -0.067

=====

What did the first record say?
Compound: Na2AlHgAu
Source: Alexandria
Functional: meta-GGA SCAN
Structure: single point on PBEsol structure

a = 5.7334 Å, b = 5.7334 Å, c = 4.6907 Å
α = 90.00°, β = 90.00°, γ = 90.00°
Last column: nearest neighbours and their distance in Å.
Sites, in units of the cell vectors:
Na 0.0000 0.5000 0.0000  2 Al 2.87
Na 0.5000 0.0000 0.0000  2 Al 2.87
Al 0.0000 0.0000 0.0000  2 Au 2.35
Hg 0.5000 0.5000 0.5000  8 Na 3.70, 4 Au 4.05
Au 0.0000 0.0000 0.5000  2 Al 2.35

Output
- raw total energy (eV per atom) = -30.62
- ΔH_f (0 K) (eV per atom) = 0.0812

=====

Among the records above, which one has the lowest raw total energy?
Na2AlHgAu

=====

Which value of raw total energy does entry 1 give?
-30.62 eV per atom